Computed, not measured: crystalline CsHg3Pt at its relaxed geometry at the GGA-PBE level of DFT.

CIF file:
```
data_CsHg3Pt
_chemical_formula_sum 'Cs2 Hg6 Pt2'
_cell_length_a 5.684
_cell_length_b 5.684
_cell_length_c 10.761
_cell_angle_alpha 90.00
_cell_angle_beta 90.00
_cell_angle_gamma 120.00
_symmetry_space_group_name_H-M 'P 1'
_symmetry_Int_Tables_number 1
loop_
_symmetry_equiv_pos_as_xyz
'x,y,z'
loop_
_atom_site_label
_atom_site_type_symbol
_atom_site_fract_x
_atom_site_fract_y
_atom_site_fract_z
Cs1 Cs 0.333 0.667 0.250
Cs2 Cs 0.667 0.333 0.750
Hg1 Hg 0.000 0.000 0.250
Hg2 Hg 0.000 0.000 0.750
Hg3 Hg 0.333 0.667 0.576
Hg4 Hg 0.333 0.667 0.924
Hg5 Hg 0.667 0.333 0.076
Hg6 Hg 0.667 0.333 0.424
Pt1 Pt 0.000 0.000 0.000
Pt2 Pt 0.000 0.000 0.500
```

Values from the calculation:
Energy relative to the elements, eV per atom: 0.004

---

Computed, not measured: crystalline GaAg2 at its relaxed geometry at the GGA-PBE level of DFT.

CIF file:
```
data_GaAg2
_chemical_formula_sum 'Ga3 Ag6'
_cell_length_a 7.838
_cell_length_b 7.838
_cell_length_c 2.935
_cell_angle_alpha 90.00
_cell_angle_beta 90.00
_cell_angle_gamma 120.00
_symmetry_space_group_name_H-M 'P 1'
_symmetry_Int_Tables_number 1
loop_
_symmetry_equiv_pos_as_xyz
'x,y,z'
loop_
_atom_site_label
_atom_site_type_symbol
_atom_site_fract_x
_atom_site_fract_y
_atom_site_fract_z
Ga1 Ga 0.000 0.000 0.000
Ga2 Ga 0.333 0.667 0.500
Ga3 Ga 0.667 0.333 0.500
Ag1 Ag 0.000 0.305 0.500
Ag2 Ag 0.000 0.639 0.000
Ag3 Ag 0.305 0.000 0.500
Ag4 Ag 0.361 0.361 0.000
Ag5 Ag 0.639 0.000 0.000
Ag6 Ag 0.695 0.695 0.500
```

Values from the calculation:
Energy relative to the elements, eV per atom: -0.027

---

Computed, not measured: crystalline CrMo2PtC at its relaxed geometry at the GGA-PBE level of DFT.

CIF file:
```
data_CrMo2PtC
_chemical_formula_sum 'Cr1 Mo2 Pt1 C1'
_cell_length_a 4.125
_cell_length_b 4.125
_cell_length_c 3.913
_cell_angle_alpha 90.00
_cell_angle_beta 90.00
_cell_angle_gamma 90.00
_symmetry_space_group_name_H-M 'P 1'
_symmetry_Int_Tables_number 1
loop_
_symmetry_equiv_pos_as_xyz
'x,y,z'
loop_
_atom_site_label
_atom_site_type_symbol
_atom_site_fract_x
_atom_site_fract_y
_atom_site_fract_z
Cr1 Cr 0.000 0.000 0.000
Mo1 Mo 0.000 0.500 0.500
Mo2 Mo 0.500 0.000 0.500
Pt1 Pt 0.500 0.500 0.000
C1 C 0.000 0.000 0.500
```

Values from the calculation:
Energy relative to the elements, eV per atom: -0.048

---

Computed, not measured: crystalline BeTcSb2 at its relaxed geometry at the GGA-PBE level of DFT.

CIF file:
```
data_BeTcSb2
_chemical_formula_sum 'Be1 Tc1 Sb2'
_cell_length_a 3.186
_cell_length_b 3.186
_cell_length_c 8.044
_cell_angle_alpha 90.00
_cell_angle_beta 90.00
_cell_angle_gamma 113.25
_symmetry_space_group_name_H-M 'P 1'
_symmetry_Int_Tables_number 1
loop_
_symmetry_equiv_pos_as_xyz
'x,y,z'
loop_
_atom_site_label
_atom_site_type_symbol
_atom_site_fract_x
_atom_site_fract_y
_atom_site_fract_z
Be1 Be 0.000 0.000 0.000
Tc1 Tc 0.000 0.000 0.500
Sb1 Sb 0.500 0.500 0.242
Sb2 Sb 0.500 0.500 0.758
```

Values from the calculation:
E_form (uncorrected), meV per atom: 637

---

Computed, not measured: crystalline AlAs at its relaxed geometry at the GGA-PBE level of DFT.

CIF file:
```
data_AlAs
_chemical_formula_sum 'Al2 As2'
_cell_length_a 4.046
_cell_length_b 4.046
_cell_length_c 6.648
_cell_angle_alpha 90.00
_cell_angle_beta 90.00
_cell_angle_gamma 120.00
_symmetry_space_group_name_H-M 'P 1'
_symmetry_Int_Tables_number 1
loop_
_symmetry_equiv_pos_as_xyz
'x,y,z'
loop_
_atom_site_label
_atom_site_type_symbol
_atom_site_fract_x
_atom_site_fract_y
_atom_site_fract_z
Al1 Al 0.333 0.667 0.000
Al2 Al 0.667 0.333 0.500
As1 As 0.333 0.667 0.375
As2 As 0.667 0.333 0.875
```

Values from the calculation:
Energy relative to the elements, eV per atom: -0.485

---

Computed, not measured: crystalline LiTmMg2S4 at its relaxed geometry at the GGA-PBE level of DFT.

CIF file:
```
data_LiTmMg2S4
_chemical_formula_sum 'Li1 Tm1 Mg2 S4'
_cell_length_a 6.440
_cell_length_b 3.795
_cell_length_c 6.473
_cell_angle_alpha 90.00
_cell_angle_beta 108.46
_cell_angle_gamma 90.00
_symmetry_space_group_name_H-M 'P 1'
_symmetry_Int_Tables_number 1
loop_
_symmetry_equiv_pos_as_xyz
'x,y,z'
loop_
_atom_site_label
_atom_site_type_symbol
_atom_site_fract_x
_atom_site_fract_y
_atom_site_fract_z
Li1 Li 0.000 0.000 0.000
Tm1 Tm 0.500 0.500 0.000
Mg1 Mg 0.000 0.500 0.500
Mg2 Mg 0.500 0.000 0.500
S1 S 0.245 0.000 0.747
S2 S 0.254 0.500 0.263
S3 S 0.746 0.500 0.737
S4 S 0.755 0.000 0.253
```

Values from the calculation:
E_form (uncorrected), meV per atom: -1623